1.
Compound: AcLa14Sn
Source: Alexandria
Functional: PBE-GGA
Structure: relaxed

Values from the calculation:
* ΔE_f: -9.12 kJ per mole of atoms
* N(E_F): 23.01 states/eV per cell

Lattice parameters (Å, degrees): 10.4455 7.3781 7.3781 89.96 90.00 90.00
Positions (direct):
Ac  0.0000  0.0000  0.0000
La  0.0000  0.5017  0.9987
La  0.0000  0.9987  0.5017
La  0.2428  0.2652  0.2652
La  0.2432  0.2653  0.7341
La  0.2432  0.7341  0.2653
La  0.2435  0.7338  0.7338
La  0.5000  0.0005  0.4991
La  0.5000  0.4991  0.0005
La  0.5000  0.5003  0.5003
La  0.5000  0.9990  0.9990
La  0.7565  0.7338  0.7338
La  0.7572  0.2652  0.2652
La  0.7568  0.2653  0.7341
La  0.7568  0.7341  0.2653
Sn  0.0000  0.4994  0.4994

=====

2.
Compound: AcLa2Sn
Source: Alexandria
Functional: PBE-GGA
Structure: relaxed

Values from the calculation:
* ΔE_f: -37.61 kJ per mole of atoms
* N(E_F): 10.91 states/eV per cell
* distance to the lowest polymorph of the same formula: 0.042 eV/atom

Lattice parameters (Å, degrees): 4.9533 12.0652 12.0652 23.11 90.00 90.00
Positions (direct):
Ac  0.0000  0.0000  0.0000
Ac  0.5000  0.3911  0.3911
La  0.0000  0.2561  0.2561
La  0.0000  0.6384  0.6384
La  0.5000  0.5462  0.5462
La  0.5000  0.7541  0.7541
Sn  0.0000  0.8543  0.8543
Sn  0.5000  0.1468  0.1468